# 1
Here is Be4InHg after structural relaxation from the Alexandria database. Energies are from PBE-GGA.

The space group is F-43m (No. 216) and the conventional cell measures 6.831, 6.831 and 6.831 Å, with angles of 90.00, 90.00 and 90.00 degrees. Symmetry generates all atoms from Be at (0.124, 0.124, 0.124), In at (0.250, 0.250, 0.750) and Hg at (0.000, 0.000, 0.500).

# 2
Here is CdCu2Pt after structural relaxation from the Alexandria database. Energies are from PBE-GGA.

The space group is Cm (No. 8) and the conventional cell measures 9.522, 2.929 and 4.544 Å, with angles of 90.00, 110.45 and 90.00 degrees. Symmetry generates all atoms from Cd at (0.000, 0.000, 0.000), Cu at (0.020, 0.500, 0.511), Cu at (0.243, 0.000, 0.800) and Pt at (0.272, 0.500, 0.326).

no.,ρ (Mg/m³),energy of formation from the pure elements (meV per atom)
1,7.32,461.9
2,12.15,-98.4